The following is a PBE-GGA calculation of crystalline Er2Ga3Co at its relaxed geometry, from Alexandria.

a b c (Å): 8.704 8.704 6.922
angles (deg): 90.00 90.00 120.00
Last column: magnetic moment on the atom in μB.
Fractional positions:
Ga 0.173 0.827 0.046  0.00
Er 0.050 0.525 0.750  -0.04
Er 0.000 0.000 0.250  -0.01
Er 0.525 0.050 0.250  -0.04
Er 0.475 0.950 0.750  -0.04
Ga 0.346 0.173 0.546  0.00
Co 0.333 0.667 0.022  0.30
Ga 0.654 0.827 0.046  0.00
Ga 0.827 0.654 0.546  0.00
Ga 0.173 0.346 0.454  0.00
Er 0.000 0.000 0.750  -0.01
Ga 0.827 0.173 0.546  0.00
Er 0.475 0.525 0.750  -0.04
Co 0.667 0.333 0.522  0.30
Co 0.333 0.667 0.478  0.30
Ga 0.654 0.827 0.454  0.00
Co 0.667 0.333 0.978  0.30
Ga 0.827 0.654 0.954  0.00
Ga 0.827 0.173 0.954  0.00
Er 0.525 0.475 0.250  -0.04
Ga 0.173 0.346 0.046  0.00
Er 0.950 0.475 0.250  -0.04
Ga 0.346 0.173 0.954  0.00
Ga 0.173 0.827 0.454  0.00

## Properties
calculated volume	18.9	A^3/atom
density of states at the Fermi level	3.0	states/eV/f.u.
formation energy from the elements	-0.59	eV/atom